1.
Entry from the Alexandria database: a geometry-optimized As2Ru structure (PBE).

Its final energy is -0.462 Ry per atom. The energy relative to the elements comes out at -0.10 eV/atom.

It has space group Cm (No. 8), with a = 8.916 Å, b = 3.048 Å, c = 7.910 Å, α = 90.00°, β = 91.38° and γ = 90.00°. The asymmetric unit holds As at (0.000, 0.000, 0.000), As at (0.030, 0.000, 0.448), As at (0.220, 0.000, 0.717), As at (0.261, 0.500, 0.170), Ru at (0.318, 0.000, 0.419) and Ru at (0.494, 0.000, 0.746).

2.
Entry from the Alexandria database: a geometry-optimized In3HgPb4 structure (PBE).

Its final energy is -0.214 Ry per atom. The energy relative to the elements comes out at 0.01 eV/atom.

It has space group C2/m (No. 12), with a = 20.382 Å, b = 4.814 Å, c = 4.904 Å, α = 90.00°, β = 103.64° and γ = 90.00°. The asymmetric unit holds In at (0.000, 0.000, 0.000), In at (0.121, 0.000, 0.623), Hg at (0.000, 0.500, 0.500), Pb at (0.123, 0.500, 0.125) and Pb at (0.250, 0.000, 0.251).

3.
Entry from the Alexandria database: a geometry-optimized RbSe2S structure (PBE).

Its final energy is -0.251 Ry per atom. The formation energy from raw total energies is -0.404 eV per atom.

It has space group C2/c (No. 15), with a = 10.451 Å, b = 7.953 Å, c = 8.111 Å, α = 90.00°, β = 127.38° and γ = 90.00°. The asymmetric unit holds Rb at (0.000, 0.212, 0.250), Se at (0.170, 0.404, 0.749) and S at (0.000, 0.248, 0.750).

4.
Entry from the Alexandria database: a geometry-optimized InReC3 structure (PBE).

Its final energy is -0.508 Ry per atom. The energy relative to the elements comes out at 1.65 eV/atom.

It has space group Pm-3m (No. 221), with a = 4.097 Å, b = 4.097 Å, c = 4.097 Å, α = 90.00°, β = 90.00° and γ = 90.00°. The asymmetric unit holds In at (0.000, 0.000, 0.000), Re at (0.500, 0.500, 0.500) and C at (0.000, 0.500, 0.500).

5.
Entry from the Alexandria database: a geometry-optimized TmPa3Tl4S12 structure (PBE).

Its final energy is -0.419 Ry per atom. The formation energy from raw total energies is -1.107 eV per atom.

It has space group Im-3m (No. 229), with a = 10.510 Å, b = 10.510 Å, c = 10.510 Å, α = 90.00°, β = 90.00° and γ = 90.00°. The asymmetric unit holds Tm at (0.000, 0.000, 0.000), Pa at (0.000, 0.000, 0.500), Tl at (0.250, 0.250, 0.250), S at (0.000, 0.000, 0.254) and S at (0.000, 0.250, 0.500).

6.
Entry from the Alexandria database: a geometry-optimized Dy2Tm3Sc7 structure (PBE).

Its final energy is -0.403 Ry per atom. The energy relative to the elements comes out at 0.10 eV/atom.

It has space group P2/m (No. 10), with a = 5.424 Å, b = 3.414 Å, c = 17.602 Å, α = 90.00°, β = 92.98° and γ = 90.00°. The asymmetric unit holds Dy at (0.210, 0.000, 0.291), Tm at (0.000, 0.000, 0.000), Tm at (0.276, 0.500, 0.630), Sc at (0.196, 0.500, 0.141), Sc at (0.243, 0.000, 0.463), Sc at (0.303, 0.000, 0.827) and Sc at (0.500, 0.500, 0.000).

7.
Entry from the Alexandria database: a geometry-optimized ScFeMo structure (PBE).

Its final energy is -0.605 Ry per atom. The energy relative to the elements comes out at 0.30 eV/atom.

It has space group F-43m (No. 216), with a = 5.908 Å, b = 5.908 Å, c = 5.908 Å, α = 90.00°, β = 90.00° and γ = 90.00°. The asymmetric unit holds Sc at (0.000, 0.000, 0.000), Fe at (0.250, 0.250, 0.750) and Mo at (0.000, 0.000, 0.500).

8.
Entry from the Alexandria database: a geometry-optimized GaHgRh2 structure (PBE).

Its final energy is -0.355 Ry per atom. The energy relative to the elements comes out at -0.32 eV/atom.

It has space group P4/mmm (No. 123), with a = 3.048 Å, b = 3.048 Å, c = 6.749 Å, α = 90.00°, β = 90.00° and γ = 90.00°. The asymmetric unit holds Ga at (0.000, 0.000, 0.000), Hg at (0.000, 0.000, 0.500) and Rh at (0.500, 0.500, 0.215).

9.
Entry from the Alexandria database: a geometry-optimized ZrTiSeBr2 structure (PBE).

Its final energy is -0.353 Ry per atom. The formation energy from raw total energies is -0.152 eV per atom.

It has space group P4/mmm (No. 123), with a = 5.035 Å, b = 5.035 Å, c = 5.099 Å, α = 90.00°, β = 90.00° and γ = 90.00°. The asymmetric unit holds Zr at (0.000, 0.000, 0.000), Ti at (0.500, 0.500, 0.500), Se at (0.500, 0.500, 0.000) and Br at (0.000, 0.500, 0.500).

10.
Entry from the Alexandria database: a geometry-optimized Sm5Zn2Bi2 structure (PBE).

Its final energy is -0.314 Ry per atom. The energy relative to the elements comes out at -0.51 eV/atom.

It has space group Cmce (No. 64), with a = 16.126 Å, b = 8.194 Å, c = 8.057 Å, α = 90.00°, β = 90.00° and γ = 90.00°. The asymmetric unit holds Sm at (0.000, 0.000, 0.000), Sm at (0.130, 0.170, 0.334), Zn at (0.000, 0.123, 0.620) and Bi at (0.207, 0.000, 0.000).

11.
Entry from the Alexandria database: a geometry-optimized CuReBr4 structure (PBE).

Its final energy is -0.163 Ry per atom. The formation energy from raw total energies is 1.660 eV per atom.

It has space group F-43m (No. 216), with a = 8.833 Å, b = 8.833 Å, c = 8.833 Å, α = 90.00°, β = 90.00° and γ = 90.00°. The asymmetric unit holds Cu at (0.000, 0.000, 0.000), Re at (0.250, 0.250, 0.750) and Br at (0.126, 0.126, 0.374).

12.
Entry from the Alexandria database: a geometry-optimized BaCdPd3 structure (PBE).

Its final energy is -0.297 Ry per atom. The energy relative to the elements comes out at -0.36 eV/atom.

It has space group Fmm2 (No. 42), with a = 6.259 Å, b = 6.268 Å, c = 11.829 Å, α = 90.00°, β = 90.00° and γ = 90.00°. The asymmetric unit holds Ba at (0.000, 0.000, 0.000), Cd at (0.000, 0.000, 0.354), Pd at (0.000, 0.000, 0.582) and Pd at (0.250, 0.250, 0.219).

13.
Entry from the Alexandria database: a geometry-optimized ScFe2W structure (PBE).

Its final energy is -0.651 Ry per atom. The energy relative to the elements comes out at 0.19 eV/atom.

It has space group Cmmm (No. 65), with a = 3.270 Å, b = 4.399 Å, c = 8.159 Å, α = 90.00°, β = 90.00° and γ = 90.00°. The asymmetric unit holds Sc at (0.000, 0.000, 0.000), Fe at (0.000, 0.500, 0.261) and W at (0.000, 0.000, 0.500).

14.
Entry from the Alexandria database: a geometry-optimized MnFeSi structure (PBE).

Its final energy is -0.580 Ry per atom. The formation energy from raw total energies is -0.201 eV per atom.

It has space group P3m1 (No. 156), with a = 3.9318 Å, b = 3.9318 Å, c = 2.5552 Å, α = 90.00°, β = 90.00° and γ = 120.00°. The asymmetric unit holds Mn at (0.0000, 0.0000, 0.0000), Fe at (0.3333, 0.6667, 0.4990) and Si at (0.6667, 0.3333, 0.5010).

15.
Entry from the Alexandria database: a geometry-optimized ScAgOs2 structure (PBE).

Its final energy is -0.562 Ry per atom. The energy relative to the elements comes out at 0.26 eV/atom.

It has space group Imm2 (No. 44), with a = 3.018 Å, b = 4.618 Å, c = 9.499 Å, α = 90.00°, β = 90.00° and γ = 90.00°. The asymmetric unit holds Sc at (0.000, 0.000, 0.000), Ag at (0.000, 0.500, 0.231), Os at (0.000, 0.000, 0.477) and Os at (0.000, 0.500, 0.756).

16.
Entry from the Alexandria database: a geometry-optimized VFe2Si structure (PBE).

Its final energy is -0.608 Ry per atom. The formation energy from raw total energies is -0.399 eV per atom.

It has space group P4/mmm (No. 123), with a = 3.957 Å, b = 3.957 Å, c = 2.840 Å, α = 90.00°, β = 90.00° and γ = 90.00°. The asymmetric unit holds V at (0.000, 0.000, 0.000), Fe at (0.000, 0.500, 0.500) and Si at (0.500, 0.500, 0.000).

17.
Entry from the Alexandria database: a geometry-optimized ErGaO3 structure (PBE).

Its final energy is -0.529 Ry per atom. The formation energy from raw total energies is -2.710 eV per atom.

It has space group P2_1/m (No. 11), with a = 5.505 Å, b = 3.484 Å, c = 7.706 Å, α = 90.00°, β = 107.59° and γ = 90.00°. The asymmetric unit holds Er at (0.204, 0.250, 0.400), Ga at (0.384, 0.250, 0.842), O at (0.060, 0.250, 0.644), O at (0.319, 0.750, 0.929) and O at (0.447, 0.750, 0.344).

18.
Entry from the Alexandria database: a geometry-optimized HfZn2Pt2 structure (PBE).

Its final energy is -0.400 Ry per atom. The energy relative to the elements comes out at -0.53 eV/atom.

It has space group P4/mbm (No. 127), with a = 7.001 Å, b = 7.001 Å, c = 3.468 Å, α = 90.00°, β = 90.00° and γ = 90.00°. The asymmetric unit holds Hf at (0.000, 0.000, 0.000), Zn at (0.158, 0.342, 0.500) and Pt at (0.139, 0.639, 0.000).

19.
Entry from the Alexandria database: a geometry-optimized LiLaTc structure (PBE).

Its final energy is -0.375 Ry per atom. The energy relative to the elements comes out at 0.64 eV/atom.

It has space group P3m1 (No. 156), with a = 2.9670 Å, b = 2.9670 Å, c = 8.1058 Å, α = 90.00°, β = 90.00° and γ = 120.00°. The asymmetric unit holds Li at (0.0000, 0.0000, 0.0000), La at (0.3333, 0.6667, 0.5999) and Tc at (0.6667, 0.3333, 0.2720).

20.
Entry from the Alexandria database: a geometry-optimized La2MnAl structure (PBE).

Its final energy is -0.411 Ry per atom. The energy relative to the elements comes out at 0.10 eV/atom.

It has space group F-43m (No. 216), with a = 7.262 Å, b = 7.262 Å, c = 7.262 Å, α = 90.00°, β = 90.00° and γ = 90.00°. The asymmetric unit holds La at (0.000, 0.000, 0.000), La at (0.250, 0.250, 0.250), Mn at (0.250, 0.250, 0.750) and Al at (0.000, 0.000, 0.500).

21.
Entry from the Alexandria database: a geometry-optimized Be2CrCl structure (PBE).

Its final energy is -0.299 Ry per atom. The formation energy from raw total energies is 0.667 eV per atom.

It has space group I-42d (No. 122), with a = 6.644 Å, b = 6.644 Å, c = 4.909 Å, α = 90.00°, β = 90.00° and γ = 90.00°. The asymmetric unit holds Be at (0.221, 0.250, 0.125), Cr at (0.000, 0.000, 0.500) and Cl at (0.000, 0.000, 0.000).

22.
Entry from the Alexandria database: a geometry-optimized ScBi2RhO6 structure (PBE).

Its final energy is -0.496 Ry per atom. The formation energy from raw total energies is -1.635 eV per atom.

It has space group P2_1/c (No. 14), with a = 5.536 Å, b = 5.857 Å, c = 9.610 Å, α = 90.00°, β = 123.93° and γ = 90.00°. The asymmetric unit holds Sc at (0.000, 0.000, 0.000), Bi at (0.257, 0.057, 0.745), Rh at (0.500, 0.000, 0.500), O at (0.143, 0.035, 0.255), O at (0.227, 0.688, 0.044) and O at (0.365, 0.198, 0.054).

23.
Entry from the Alexandria database: a geometry-optimized LaSm7Th2 structure (PBE).

Its final energy is -0.383 Ry per atom. The energy relative to the elements comes out at 0.07 eV/atom.

It has space group C2/m (No. 12), with a = 16.763 Å, b = 5.831 Å, c = 7.147 Å, α = 90.00°, β = 102.63° and γ = 90.00°. The asymmetric unit holds La at (0.000, 0.000, 0.000), Sm at (0.000, 0.000, 0.500), Sm at (0.098, 0.500, 0.301), Sm at (0.104, 0.500, 0.800), Sm at (0.211, 0.000, 0.356) and Th at (0.214, 0.000, 0.857).

24.
Entry from the Alexandria database: a geometry-optimized RbCdAgHg2 structure (PBE).

Its final energy is -0.078 Ry per atom. The energy relative to the elements comes out at 0.00 eV/atom.

It has space group P4/mmm (No. 123), with a = 5.764 Å, b = 5.764 Å, c = 5.465 Å, α = 90.00°, β = 90.00° and γ = 90.00°. The asymmetric unit holds Rb at (0.000, 0.000, 0.000), Cd at (0.500, 0.500, 0.500), Ag at (0.500, 0.500, 0.000) and Hg at (0.000, 0.500, 0.500).

25.
Entry from the Alexandria database: a geometry-optimized Th2NbPd9 structure (PBE).

Its final energy is -0.489 Ry per atom. The energy relative to the elements comes out at -0.68 eV/atom.

It has space group P4/mmm (No. 123), with a = 4.168 Å, b = 4.168 Å, c = 12.300 Å, α = 90.00°, β = 90.00° and γ = 90.00°. The asymmetric unit holds Th at (0.000, 0.000, 0.175), Nb at (0.000, 0.000, 0.500), Pd at (0.000, 0.500, 0.000), Pd at (0.000, 0.500, 0.345), Pd at (0.500, 0.500, 0.173) and Pd at (0.500, 0.500, 0.500).